[1]
# KTcSeBr2

A geometry-optimized KTcSeBr2 structure (PBE, Alexandria).

Summary:
Distance to the lowest polymorph of the same formula: 1.3851 eV/atom
Formation energy from raw total energies: 4.37 eV/f.u.
Total magnetic moment: 0.82 μB per atom

Lattice parameters (Å, degrees): 5.7213 5.7213 5.8414 90.00 90.00 90.00
Space group P4/mmm (No. 123)
Symmetry-distinct sites (fractional):
K: 0.0000 0.0000 0.0000
Tc: 0.5000 0.5000 0.5000
Se: 0.0000 0.0000 0.5000
Br: 0.0000 0.5000 0.0000

[2]
# NbCuS2N

A geometry-optimized NbCuS2N structure (PBE, Alexandria).

Summary:
Distance to the lowest polymorph of the same formula: 0.0000 eV/atom
Formation energy from raw total energies: 1.37 eV/f.u.
Total magnetic moment: 0.00 μB per atom

Lattice parameters (Å, degrees): 4.9167 4.9167 3.8901 90.00 90.00 90.00
Space group P4/mmm (No. 123)
Symmetry-distinct sites (fractional):
Nb: 0.0000 0.0000 0.0000
Cu: 0.5000 0.5000 0.5000
S: 0.0000 0.5000 0.0000
N: 0.0000 0.0000 0.5000

[3]
# CsSiSnS4

A geometry-optimized CsSiSnS4 structure (PBE, Alexandria).

Summary:
Formation energy from raw total energies: -5.20 eV/f.u.
Total magnetic moment: 0.00 μB per atom

Lattice parameters (Å, degrees): 6.3317 6.9051 9.5318 90.00 108.63 90.00
Space group P2_1/m (No. 11)
Symmetry-distinct sites (fractional):
Cs: 0.2191 0.2500 0.4342
Si: 0.1174 0.2500 0.8424
Sn: 0.3142 0.7500 0.0294
S: 0.1229 0.2500 0.0658
S: 0.2202 0.7500 0.2943
S: 0.3029 0.0072 0.8016

What did the first record say?
# KTcSeBr2

A geometry-optimized KTcSeBr2 structure (PBE, Alexandria).

Summary:
Distance to the lowest polymorph of the same formula: 1.3851 eV/atom
Formation energy from raw total energies: 4.37 eV/f.u.
Total magnetic moment: 0.82 μB per atom

Lattice parameters (Å, degrees): 5.7213 5.7213 5.8414 90.00 90.00 90.00
Space group P4/mmm (No. 123)
Symmetry-distinct sites (fractional):
K: 0.0000 0.0000 0.0000
Tc: 0.5000 0.5000 0.5000
Se: 0.0000 0.0000 0.5000
Br: 0.0000 0.5000 0.0000